Material: Co2Rh
Method: DFT, PBEsol
State: relaxed

Summary:
Its total magnetic moment is 16.83 μB per cell. The calculated total energy is -7.72 eV per atom. The calculation puts the density of states at the Fermi level at 4.3 states/eV/f.u.

Cell: 4.169 12.630 2.670 Å, 90.00 90.00 90.00°
Space group Cmcm (No. 63)
Asymmetric unit:
Co 0.000 0.075 0.250
Co 0.000 0.232 0.750
Rh 0.000 0.403 0.250

=====

Material: Co2Rh
Method: DFT, PBEsol
State: relaxed

Summary:
Its total magnetic moment is 14.40 μB per cell. The calculated total energy is -7.80 eV per atom. The calculation puts the density of states at the Fermi level at 4.8 states/eV/f.u.

Cell: 3.610 10.761 3.559 Å, 90.00 90.00 90.00°
Space group Cmmm (No. 65)
Asymmetric unit:
Co 0.000 0.000 0.000
Co 0.000 0.162 0.500
Co 0.000 0.500 0.500
Rh 0.000 0.337 0.000

=====

Material: Co3Rh2
Method: DFT, PBEsol
State: relaxed

Summary:
Its total magnetic moment is 16.25 μB per cell. The calculation puts the density of states at the Fermi level at 6.1 states/eV/f.u. The distance to the lowest polymorph of the same formula comes out at 0.002 eV/atom.

Cell: 2.5874 2.5874 30.5824 Å, 90.00 90.00 120.00°
Space group R-3m (No. 166, hexagonal axes)
Asymmetric unit:
Co 0.0000 0.0000 0.0000
Co 0.0000 0.0000 0.2706
Rh 0.0000 0.0000 0.1300

=====

Material: Co2Rh3
Method: DFT, PBEsol
State: relaxed

Summary:
Its total magnetic moment is 16.23 μB per cell. The calculation puts the density of states at the Fermi level at 8.9 states/eV/f.u. The distance to the lowest polymorph of the same formula comes out at 0.270 eV/atom.

Cell: 4.1802 4.1802 12.6388 Å, 90.00 90.00 120.00°
Space group R-3m (No. 166, hexagonal axes)
Asymmetric unit:
Co 0.0000 0.0000 0.1957
Rh 0.0000 0.0000 0.0000
Rh 0.0000 0.0000 0.3983

=====

Material: Co2Rh
Method: DFT, PBEsol
State: relaxed

Summary:
Its total magnetic moment is 6.68 μB per cell. The calculated total energy is -7.80 eV per atom. The calculation puts the density of states at the Fermi level at 4.0 states/eV/f.u.

Cell: 2.582 2.582 10.342 Å, 90.00 90.00 90.00°
Space group P4/nmm (No. 129, origin choice 2)
Asymmetric unit:
Co 0.250 0.250 0.078
Co 0.250 0.250 0.769
Rh 0.250 0.250 0.407

=====

Material: Co2Rh3
Method: DFT, PBEsol
State: relaxed

Summary:
Its total magnetic moment is 8.52 μB per cell. The calculation puts the density of states at the Fermi level at 6.7 states/eV/f.u. The distance to the lowest polymorph of the same formula comes out at 0.022 eV/atom.

Cell: 3.889 12.245 2.600 Å, 90.00 90.00 90.00°
Space group Cmmm (No. 65)
Asymmetric unit:
Co 0.000 0.203 0.000
Rh 0.000 0.000 0.000
Rh 0.000 0.387 0.500

=====

Which of these has the highest total magnetic moment?
number 1

=====

Look up the total magnetic moment of the second one.
14.40 μB per cell

=====

Look up the total magnetic moment of the fourth one.
16.23 μB per cell